[1]
Computed, not measured: a relaxed structure of CeSmHgTe at the PBE level of DFT.

As for the uncorrected formation energy: -0.798 eV per atom.

The space group is P4/mmm (No. 123) and the conventional cell measures 4.437, 4.437 and 6.344 Å, with angles of 90.00, 90.00 and 90.00 degrees. The inequivalent atoms are Ce at (0.000, 0.000, 0.000), Sm at (0.500, 0.500, 0.500), Hg at (0.500, 0.500, 0.000) and Te at (0.000, 0.000, 0.500).


[2]
Computed, not measured: a relaxed structure of CeSmTmHg at the PBE level of DFT.

Its formation energy is 0.1 eV per formula unit.

The space group is F-43m (No. 216) and the conventional cell measures 7.578, 7.578 and 7.578 Å, with angles of 90.00, 90.00 and 90.00 degrees. The inequivalent atoms are Ce at (0.000, 0.000, 0.000), Sm at (0.250, 0.250, 0.750), Tm at (0.250, 0.250, 0.250) and Hg at (0.000, 0.000, 0.500).


[3]
Computed, not measured: a relaxed structure of CeSmYHg at the PBE level of DFT.

Its formation energy is 0.0 eV per formula unit.

The space group is F-43m (No. 216) and the conventional cell measures 7.638, 7.638 and 7.638 Å, with angles of 90.00, 90.00 and 90.00 degrees. The inequivalent atoms are Ce at (0.000, 0.000, 0.000), Sm at (0.250, 0.250, 0.250), Y at (0.250, 0.250, 0.750) and Hg at (0.000, 0.000, 0.500).


[4]
Computed, not measured: a relaxed structure of CeSmZnHg at the PBE level of DFT.

The offset from the most stable computed form is 0.0000 eV/atom. Its formation energy is -1.2 eV per formula unit.

The space group is P4mm (No. 99) and the conventional cell measures 3.683, 3.683 and 7.610 Å, with angles of 90.00, 90.00 and 90.00 degrees. The inequivalent atoms are Ce at (0.000, 0.000, 0.000), Sm at (0.000, 0.000, 0.465), Zn at (0.500, 0.500, 0.237) and Hg at (0.500, 0.500, 0.726).


[5]
Computed, not measured: a relaxed structure of Ce2SmZn2Hg2 at the PBE level of DFT.

Its formation energy is -1.9 eV per formula unit.

The space group is R-3m (No. 166, hexagonal axes) and the conventional cell measures 4.5642, 4.5642 and 27.4006 Å, with angles of 90.00, 90.00 and 120.00 degrees. The inequivalent atoms are Ce at (0.0000, 0.0000, 0.1426), Sm at (0.0000, 0.0000, 0.0000), Zn at (0.0000, 0.0000, 0.4129) and Hg at (0.0000, 0.0000, 0.2652).


[6]
Computed, not measured: a relaxed structure of CeSmZnHg at the PBE level of DFT.

The offset from the most stable computed form is 0.0241 eV/atom. Its formation energy is -1.1 eV per formula unit.

The space group is F-43m (No. 216) and the conventional cell measures 7.480, 7.480 and 7.480 Å, with angles of 90.00, 90.00 and 90.00 degrees. The inequivalent atoms are Ce at (0.000, 0.000, 0.000), Sm at (0.000, 0.000, 0.500), Zn at (0.250, 0.250, 0.750) and Hg at (0.250, 0.250, 0.250).